VASP calculation (PBE) on Ba2Na3NbO6 after structural relaxation.

Cell and atoms, written as CIF:
```
data_Ba2Na3NbO6
_symmetry_space_group_name_H-M 'C 1 2/m 1'
_symmetry_Int_Tables_number 12
_cell_length_a 6.2652
_cell_length_b 11.4238
_cell_length_c 5.9077
_cell_angle_alpha 90.00
_cell_angle_beta 109.12
_cell_angle_gamma 90.00
loop_
_symmetry_equiv_pos_as_xyz
'x,y,z'
'-x,-y,-z'
'-x,y,-z'
'x,-y,z'
'x+1/2,y+1/2,z'
'-x+1/2,-y+1/2,-z'
'-x+1/2,y+1/2,-z'
'x+1/2,-y+1/2,z'
loop_
_atom_site_label
_atom_site_type_symbol
_atom_site_fract_x
_atom_site_fract_y
_atom_site_fract_z
Ba1 Ba 0.0000 0.1703 0.0000
Na1 Na 0.0000 0.0000 0.5000
Na2 Na 0.0000 0.3736 0.5000
Nb1 Nb 0.0000 0.5000 0.0000
O1 O 0.1955 0.3724 0.2181
O2 O 0.2140 0.5000 0.7985
```

Uncorrected energy   -148.51 eV per cell
Raw formation energy   -2.219 eV per atom
Magnetic moment   0.0 μB per formula unit